Here is an optimized crystal structure of KBe2 from Alexandria. Energies are from PBE-GGA.

DOS(E_F): 1.18 states/eV/f.u.
Uncorrected energy: -28.1 eV for the cell shown
Energy relative to the lowest polymorph listed for this composition: 0.074 eV/atom
ΔH_f (0 K): 506 meV/atom

Cell: 11.741 4.562 3.980 Å, 90.00 90.00 90.00°
Space group Cmcm (No. 63)
Asymmetric unit:
K: 0.000 0.247 0.250 [4 per cell]
Be: 0.244 0.375 0.750 [8 per cell]

***

Here is an optimized crystal structure of NbTl3Zn from Alexandria. Energies are from PBE-GGA.

DOS(E_F): 6.52 states/eV/f.u.
Uncorrected energy: -13.4 eV for the cell shown
Energy relative to the lowest polymorph listed for this composition: 0.272 eV/atom
ΔH_f (0 K): 1010 meV/atom

Cell: 5.243 5.243 5.243 Å, 90.00 90.00 90.00°
Space group Pm-3m (No. 221)
Asymmetric unit:
Nb: 0.000 0.000 0.000 [1 per cell]
Tl: 0.000 0.500 0.500 [3 per cell]
Zn: 0.500 0.500 0.500 [1 per cell]